! GGA-PBE Zr3TaIr, relaxed; values from VASP
! energy relative to the elements = 1.22 eV/atom
! SG = No. 221
! energy above the lowest structure with this stoichiometry = 0.622 eV per atom
! calculated volume = 125.00 Å³/cell
&SYSTEM
  ibrav = 0, nat = 5, ntyp = 3
/
ATOMIC_SPECIES
Zr 91.22 Zr.upf
Ir 192.22 Ir.upf
Ta 180.95 Ta.upf
CELL_PARAMETERS angstrom
5.000 0.000 0.000
0.000 5.000 0.000
0.000 0.000 5.000
ATOMIC_POSITIONS angstrom
Zr 0.000 2.500 0.000
Ir 2.500 2.500 2.500
Ta 0.000 0.000 0.000
Zr 0.000 0.000 2.500
Zr 2.500 0.000 0.000